Cd2GeCI | PBE-GGA | optimized geometry

Properties
V (Å³/f.u.): 112.8
Raw formation energy (eV/atom): 0.764
M_tot (Bohr magnetons per cell): 0.00

a b c (Å): 4.477 4.477 5.626
angles (deg): 90.00 90.00 90.00
Space group P4/mmm (No. 123)
Symmetry-distinct sites (fractional):
Cd (0.000, 0.500, 0.000) x2
Ge (0.000, 0.000, 0.500) x1
C (0.000, 0.000, 0.000) x1
I (0.500, 0.500, 0.500) x1


CdIn2GeC | PBE-GGA | optimized geometry

Properties
V (Å³/f.u.): 143.6
Energy relative to the elements (meV per atom): 1589
M_tot (Bohr magnetons per cell): 1.79

a b c (Å): 5.349 5.349 5.017
angles (deg): 90.00 90.00 90.00
Space group P4/mmm (No. 123)
Symmetry-distinct sites (fractional):
Cd (0.000, 0.000, 0.000) x1
In (0.000, 0.500, 0.500) x2
Ge (0.000, 0.000, 0.500) x1
C (0.500, 0.500, 0.000) x1


CdGe4C8S10N2 | PBE-GGA | optimized geometry

Properties
V (Å³/f.u.): 648.5
Raw formation energy (eV/atom): 0.995
M_tot (Bohr magnetons per cell): 0.76

a b c (Å): 8.024 8.024 20.142
angles (deg): 90.00 90.00 90.00
Space group I-4 (No. 82)
Symmetry-distinct sites (fractional):
Cd (0.000, 0.000, 0.000) x2
Ge (0.126, 0.327, 0.812) x8
C (0.040, 0.574, 0.183) x8
C (0.074, 0.846, 0.487) x8
S (0.000, 0.500, 0.614) x4
S (0.057, 0.819, 0.751) x8
S (0.106, 0.733, 0.134) x8
N (0.000, 0.000, 0.500) x2
N (0.000, 0.500, 0.250) x2


CdGePb2C | PBE-GGA | optimized geometry

Properties
V (Å³/f.u.): 137.8
Relative energy among the computed polymorphs (meV per atom): 411.6
Energy relative to the elements (meV per atom): 1297
M_tot (Bohr magnetons per cell): 0.00

a b c (Å): 5.918 5.918 3.934
angles (deg): 90.00 90.00 90.00
Space group P4/mmm (No. 123)
Symmetry-distinct sites (fractional):
Cd (0.000, 0.000, 0.000) x1
Ge (0.500, 0.500, 0.500) x1
Pb (0.000, 0.500, 0.000) x2
C (0.000, 0.000, 0.500) x1


CdGePb2C | PBE-GGA | optimized geometry

Properties
V (Å³/f.u.): 119.2
Relative energy among the computed polymorphs (meV per atom): 0.0
Energy relative to the elements (meV per atom): 886
M_tot (Bohr magnetons per cell): 0.00

a b c (Å): 5.341 5.341 4.180
angles (deg): 90.00 90.00 90.00
Space group P4/mmm (No. 123)
Symmetry-distinct sites (fractional):
Cd (0.000, 0.000, 0.000) x1
Ge (0.500, 0.500, 0.000) x1
Pb (0.000, 0.500, 0.500) x2
C (0.000, 0.000, 0.500) x1


CdGe2RuC | PBE-GGA | optimized geometry

Properties
V (Å³/f.u.): 98.1
Energy relative to the elements (meV per atom): 722
M_tot (Bohr magnetons per cell): 0.00

a b c (Å): 5.022 5.022 3.891
angles (deg): 90.00 90.00 90.00
Space group P4/mmm (No. 123)
Symmetry-distinct sites (fractional):
Cd (0.000, 0.000, 0.000) x1
Ge (0.000, 0.500, 0.500) x2
Ru (0.500, 0.500, 0.500) x1
C (0.500, 0.500, 0.000) x1


CdH6CI3N3 | PBE-GGA | optimized geometry

Properties
V (Å³/f.u.): 295.4
E (Ha/atom): -0.17222
M_tot (Bohr magnetons per cell): 0.00

a b c (Å): 9.535 7.532 19.007
angles (deg): 90.00 120.04 90.00
Space group P2_1/c (No. 14)
Symmetry-distinct sites (fractional):
Cd (0.000, 0.016, 0.250) x4
H (0.105, 0.244, 0.570) x4
H (0.110, 0.248, 0.980) x4
H (0.351, 0.235, 0.697) x4
H (0.362, 0.248, 0.983) x4
H (0.458, 0.743, 0.924) x4
H (0.464, 0.735, 0.801) x4
C (0.335, 0.243, 0.584) x4
I (0.142, 0.734, 0.895) x4
I (0.147, 0.734, 0.679) x4
I (0.289, 0.234, 0.824) x4
N (0.173, 0.248, 0.542) x4
N (0.412, 0.235, 0.665) x4
N (0.419, 0.247, 0.545) x4


CdH6C2I2N2O2 | PBE-GGA | optimized geometry

Properties
V (Å³/f.u.): 258.0
E (Ha/atom): -0.19012
M_tot (Bohr magnetons per cell): 0.00

a b c (Å): 4.287 8.078 8.419
angles (deg): 62.71 85.28 89.88
Space group P-1 (No. 2)
Symmetry-distinct sites (fractional):
Cd (0.000, 0.000, 0.000) x1
H (0.109, 0.866, 0.473) x2
H (0.230, 0.688, 0.862) x2
H (0.274, 0.651, 0.607) x2
C (0.146, 0.799, 0.739) x2
I (0.484, 0.716, 0.177) x2
N (0.177, 0.770, 0.596) x2
O (0.031, 0.943, 0.740) x2